## As2RhCl (PBE)

Data for a geometry-optimized As2RhCl structure.

Summary:
raw formation energy: 0.00 eV/atom
calculated density: 4.597 Mg/m³
volume: 208.2 Å³ per cell
distance to the lowest polymorph of the same formula: 0.290 eV/atom
E_tot: -4.63 eV per atom
space-group type: I-42d (122)

Lattice parameters (Å, degrees): 7.0922 7.0922 7.0922 129.30 129.30 74.53
With the nearest neighbours (Å) after each atom.
Element x y z (fractional)
As (0.0490, 0.6250, 0.9240)  2 Rh 2.33
As (0.3750, 0.2990, 0.4240)  2 Rh 2.33
As (0.7010, 0.1250, 0.0760)  2 Rh 2.33
As (0.8750, 0.9510, 0.5760)  2 Rh 2.33
Rh (0.0000, 0.0000, 0.0000)  4 As 2.33
Rh (0.7500, 0.2500, 0.5000)  4 As 2.33
Cl (0.2500, 0.7500, 0.5000)  4 As 2.87
Cl (0.5000, 0.5000, 0.0000)  4 As 2.87